YMg2Bi: relaxed, PBE.

Cell lengths 4.5769, 4.5769, 4.9670 Å; angles 90.00, 90.00, 90.00 degrees
With the nearest neighbours (Å) after each atom.
Element x y z (fractional)
Y: 0.0000 0.0000 0.0000  4 Bi 3.24, 8 Mg 3.38
Mg: 0.0000 0.5000 0.5000  4 Mg 3.24, 4 Bi 3.38, 4 Y 3.38
Mg: 0.5000 0.0000 0.5000  4 Mg 3.24, 4 Bi 3.38, 4 Y 3.38
Bi: 0.5000 0.5000 0.0000  4 Y 3.24, 8 Mg 3.38

Values from the calculation:
As for the size of the total moment: 0.0 μB per formula unit. As for the total energy: -3.74 eV/atom. For the formation energy, the calculation gives -355.1 meV per atom.